Entry 1:
First-principles (PBE) data for a geometry-optimized CoTc3 structure, as listed in the Alexandria database.

abc: 3.1299 3.1299 5.5851
angles: 90.00 90.00 90.00
Last column: nearest neighbours and their distance in Å.
Atoms (fractional coordinates):
Co  0.0000  0.0000  0.0000  10 Tc 2.53-2.79
Tc  0.0000  0.0000  0.5000  8 Tc 2.71, 2 Co 2.79
Tc  0.5000  0.5000  0.2210  5 Tc 2.47-2.71, 4 Co 2.53
Tc  0.5000  0.5000  0.7790  5 Tc 2.47-2.71, 4 Co 2.53

## Properties
DFT formation energy ... 0.1649 eV per atom
Volume ... 13.678 Å³ per atom
Space group ... P4/mmm
Total energy ... -37.5 eV/cell
Energy above the lowest structure with this stoichiometry ... 0.218 eV per atom

---

Entry 2:
First-principles (PBE) data for a geometry-optimized CoTc3 structure, as listed in the Alexandria database.

abc: 2.7155 8.5786 4.6632
angles: 90.00 90.00 90.00
Last column: nearest neighbours and their distance in Å.
Atoms (fractional coordinates):
Co  0.0000  0.0000  0.0000  10 Tc 2.62-2.72, 2 Co 2.72
Co  0.5000  0.5000  0.5000  10 Tc 2.62-2.72, 2 Co 2.72
Tc  0.0000  0.2554  0.3325  3 Co 2.62-2.68, 9 Tc 2.62-2.72
Tc  0.0000  0.5000  0.9953  8 Tc 2.62-2.72, 4 Co 2.68-2.72
Tc  0.0000  0.7446  0.3325  3 Co 2.62-2.68, 9 Tc 2.62-2.72
Tc  0.5000  0.0000  0.4953  8 Tc 2.62-2.72, 4 Co 2.68-2.72
Tc  0.5000  0.2446  0.8325  3 Co 2.62-2.68, 9 Tc 2.62-2.72
Tc  0.5000  0.7554  0.8325  3 Co 2.62-2.68, 9 Tc 2.62-2.72

## Properties
DFT formation energy ... 0.0417 eV per atom
Volume ... 13.579 Å³ per atom
Space group ... Imm2
Total energy ... -76.1 eV/cell
Energy above the lowest structure with this stoichiometry ... 0.095 eV per atom